First-principles (PBE) data for a relaxed KBa2Ga crystal, as listed in Alexandria.

Cell and atoms, written as POSCAR:
```
KBa2Ga
1.0
-2.3917 -3.5023 1.5605
-0.7529 -3.5821 -2.6502
9.4114 -7.6458 3.8076
K Ba Ga
1 2 1
direct
0.5004 0.5004 0.4988
0.0583 0.0583 0.8252
0.2748 0.2748 0.1755
0.6665 0.6665 0.0004
```

ΔE_f (meV per atom): -78
SG: R3m
Magnetization (μB per cell): 0.00